Density functional theory data (GGA+U) for a relaxed HfMoN2O crystal.

Results
**Magnetization**: 0.000 μB per atom
**D(E_F)**: 2.2 states/eV per cell
**Symmetry**: P4/mmm, No. 123
**Uncorrected energy**: -7.95 eV per atom

Cell: 3.9856 3.9856 3.7853 Å, 90.00 90.00 90.00°
Atoms (fractional coordinates):
Hf: 0.0000 0.0000 0.0000
Mo: 0.5000 0.5000 0.5000
N: 0.0000 0.5000 0.5000
N: 0.5000 0.0000 0.5000
O: 0.5000 0.5000 0.0000